[1]
Na2TmPb9 | PBE-GGA | optimized geometry

Output
* M_tot: 0.00 μB per formula unit
* formation energy from the elements: -1.9 eV per formula unit
* calculated volume: 353.65 Å³/cell

```
Na2TmPb9
1.0
4.8530 0.0000 0.0000
0.0000 4.8530 0.0000
0.0000 0.0000 15.0156
Na Tm Pb
2 1 9
Direct
0.0000 0.0000 0.1687
0.0000 0.0000 0.8313
0.0000 0.0000 0.5000
0.0000 0.5000 0.0000
0.0000 0.5000 0.3355
0.0000 0.5000 0.6645
0.5000 0.0000 0.0000
0.5000 0.0000 0.3355
0.5000 0.0000 0.6645
0.5000 0.5000 0.1654
0.5000 0.5000 0.5000
0.5000 0.5000 0.8346
```

[2]
YPbBr2 | PBE-GGA | optimized geometry

Output
* E_form (uncorrected): -833 meV/atom
* M_tot: 0.00 μB per formula unit
* calculated volume: 247.22 Å³/cell
* offset from the most stable computed form: 18.53 kJ per mole of atoms

```
YPbBr2
1.0
3.6163 0.0000 0.0000
0.0000 6.5746 0.0000
0.0000 0.0000 10.3979
Y Pb Br
2 2 4
Direct
0.0000 0.0000 0.0000
0.5000 0.5000 0.0000
0.0000 0.0000 0.5000
0.5000 0.5000 0.5000
0.0000 0.5000 0.2162
0.0000 0.5000 0.7838
0.5000 0.0000 0.2162
0.5000 0.0000 0.7838
```

[3]
CaPm2N | PBE-GGA | optimized geometry

Output
* E_form (uncorrected): -654 meV/atom
* M_tot: 0.31 μB per formula unit
* calculated volume: 331.20 Å³/cell

```
CaPm2N
1.0
3.6550 0.0000 0.0000
-1.8275 3.1653 0.0000
0.0000 0.0000 28.6278
Ca Pm N
3 6 3
Direct
0.0000 0.0000 0.0000
0.3333 0.6667 0.6667
0.6667 0.3333 0.3333
0.0000 0.0000 0.2142
0.0000 0.0000 0.7858
0.3333 0.6667 0.4525
0.3333 0.6667 0.8809
0.6667 0.3333 0.1191
0.6667 0.3333 0.5475
0.0000 0.0000 0.5000
0.3333 0.6667 0.1667
0.6667 0.3333 0.8333
```

[4]
NaLa2TlFe | PBE-GGA | optimized geometry

Output
* M_tot: 0.00 μB per formula unit
* formation energy from the elements: -0.1 eV per formula unit
* calculated volume: 146.00 Å³/cell

```
NaLa2TlFe
1.0
5.2546 0.0000 0.0000
0.0000 5.2546 0.0000
0.0000 0.0000 5.2878
Na La Tl Fe
1 2 1 1
Direct
0.0000 0.0000 0.0000
0.0000 0.5000 0.5000
0.5000 0.0000 0.5000
0.5000 0.5000 0.0000
0.5000 0.5000 0.5000
```

[5]
Hf3BiCl | PBE-GGA | optimized geometry

Output
* E_form (uncorrected): 1516 meV/atom
* M_tot: 3.98 μB per formula unit
* calculated volume: 164.57 Å³/cell
* offset from the most stable computed form: 124.20 kJ per mole of atoms

```
Hf3BiCl
1.0
5.4800 0.0000 0.0000
0.0000 5.4800 0.0000
0.0000 0.0000 5.4800
Hf Bi Cl
3 1 1
Direct
0.0000 0.0000 0.5000
0.0000 0.5000 0.0000
0.5000 0.0000 0.0000
0.0000 0.0000 0.0000
0.5000 0.5000 0.5000
```

[6]
GdDyPt2 | PBE-GGA | optimized geometry

Output
* M_tot: 7.11 μB per formula unit
* formation energy from the elements: -4.5 eV per formula unit
* calculated volume: 289.39 Å³/cell
* offset from the most stable computed form: 6.50 kJ per mole of atoms

```
GdDyPt2
1.0
4.0821 0.0000 0.0000
-2.0411 3.5352 0.0000
0.0000 0.0000 20.0530
Gd Dy Pt
3 3 6
Direct
0.0000 0.0000 0.0000
0.3333 0.6667 0.6667
0.6667 0.3333 0.3333
0.0000 0.0000 0.5000
0.3333 0.6667 0.1667
0.6667 0.3333 0.8333
0.0000 0.0000 0.2487
0.0000 0.0000 0.7513
0.3333 0.6667 0.4180
0.3333 0.6667 0.9153
0.6667 0.3333 0.0847
0.6667 0.3333 0.5820
```

[7]
Ca6Tl2Hg | PBE-GGA | optimized geometry

Output
* M_tot: 0.00 μB per formula unit
* formation energy from the elements: -3.1 eV per formula unit
* calculated volume: 581.88 Å³/cell
* offset from the most stable computed form: 0.00 kJ per mole of atoms

```
Ca6Tl2Hg
1.0
10.3363 0.0000 0.0000
0.0000 10.3579 0.0000
0.0000 0.0000 5.4350
Ca Tl Hg
12 4 2
Direct
0.0299 0.1926 0.0000
0.1214 0.6194 0.5000
0.1920 0.9682 0.5000
0.3080 0.4682 0.0000
0.3786 0.1194 0.0000
0.4701 0.6926 0.5000
0.5299 0.3074 0.5000
0.6214 0.8806 0.0000
0.6920 0.5318 0.0000
0.8080 0.0318 0.5000
0.8786 0.3806 0.5000
0.9701 0.8074 0.0000
0.2080 0.2895 0.5000
0.2920 0.7895 0.0000
0.7080 0.2105 0.0000
0.7920 0.7105 0.5000
0.0000 0.5000 0.0000
0.5000 0.0000 0.5000
```

[8]
Nb2GaCo2Ru5 | PBE-GGA | optimized geometry

Output
* M_tot: 0.00 μB per formula unit
* formation energy from the elements: -0.7 eV per formula unit
* calculated volume: 289.71 Å³/cell

```
Nb2GaCo2Ru5
1.0
8.6545 0.0000 0.0000
0.0000 8.6545 0.0000
0.0000 0.0000 3.8679
Nb Ga Co Ru
4 2 4 10
Direct
0.1621 0.3379 0.0000
0.3379 0.8379 0.0000
0.6621 0.1621 0.0000
0.8379 0.6621 0.0000
0.0000 0.0000 0.0000
0.5000 0.5000 0.0000
0.1322 0.6322 0.0000
0.3678 0.1322 0.0000
0.6322 0.8678 0.0000
0.8678 0.3678 0.0000
0.0000 0.5000 0.5000
0.0750 0.8001 0.5000
0.1999 0.0750 0.5000
0.3001 0.5750 0.5000
0.4250 0.3001 0.5000
0.5000 0.0000 0.5000
0.5750 0.6999 0.5000
0.6999 0.4250 0.5000
0.8001 0.9250 0.5000
0.9250 0.1999 0.5000
```